(1)
A plane-wave DFT calculation with PBE was carried out for a relaxed Ho4In5Sn2 crystal.

spin magnetization: 0.00 μB/atom
formation energy from the elements: -0.426 eV per atom
ρ: 8.578 g/cm³

```
Ho4In5Sn2
1.0
-1.538 2.327 1.890
2.986 -3.462 6.693
8.120 6.463 -1.348
In Ho Sn
5 4 2
Direct
0.000 0.808 0.841
0.000 0.500 0.000
0.000 0.555 0.298
0.000 0.192 0.159
0.000 0.445 0.702
0.500 0.277 0.442
0.500 0.172 0.887
0.500 0.723 0.558
0.500 0.828 0.113
0.000 0.066 0.639
0.000 0.934 0.361
```

(2)
A plane-wave DFT calculation with PBE was carried out for a relaxed Ho2In9Sn crystal.

spin magnetization: 0.00 μB/atom
formation energy from the elements: -0.217 eV per atom
ρ: 7.986 g/cm³

```
Ho2In9Sn
1.0
-4.406 0.730 1.219
-1.408 -2.781 -3.424
0.598 -11.268 8.906
In Sn Ho
9 1 2
Direct
0.500 0.500 0.663
0.000 0.500 0.500
0.500 0.000 0.171
0.500 0.500 0.000
0.500 0.000 0.829
0.500 0.000 0.500
0.500 0.500 0.337
0.000 0.500 0.829
0.000 0.500 0.171
0.000 0.000 0.000
0.000 0.000 0.340
0.000 0.000 0.660
```

(3)
A plane-wave DFT calculation with PBE was carried out for a relaxed Ho2InSn crystal.

spin magnetization: 0.00 μB/atom
formation energy from the elements: -0.540 eV per atom
ρ: 8.921 g/cm³

```
Ho2InSn
1.0
4.340 0.000 0.000
0.000 4.915 0.000
0.000 0.000 4.915
In Ho Sn
1 2 1
Direct
0.500 0.500 0.500
0.000 0.500 0.000
0.000 0.000 0.500
0.500 0.000 0.000
```

(4)
A plane-wave DFT calculation with PBE was carried out for a relaxed Ho2In3Sn3 crystal.

spin magnetization: 0.00 μB/atom
formation energy from the elements: -0.405 eV per atom
ρ: 8.427 g/cm³

```
Ho2In3Sn3
1.0
4.841 0.000 0.000
0.000 4.600 0.000
0.000 0.000 9.119
Ho In Sn
2 3 3
Direct
0.000 0.000 0.749
0.000 0.000 0.251
0.500 0.500 0.246
0.500 0.000 0.000
0.500 0.500 0.754
0.000 0.500 0.000
0.500 0.000 0.500
0.000 0.500 0.500
```

Question: Look up the spin magnetization of the fourth one.
Answer: 0.00 μB/atom